This record from Alexandria describes an optimized crystal structure of Ca2MgHg. The functional is PBE.

Summary:
Energy relative to the elements (meV/atom): -242
M_tot (μB per formula unit): 0.0
Offset from the most stable computed form (eV/atom): 0.081

CIF file:
```
data_Ca2MgHg
_cell_length_a 3.801
_cell_length_b 3.801
_cell_length_c 8.342
_cell_angle_alpha 90.00
_cell_angle_beta 90.00
_cell_angle_gamma 90.00
_space_group_name_H-M_alt 'P 4 m m'
_space_group_IT_number 99
loop_
_space_group_symop_operation_xyz
'x,y,z'
'-y,x,z'
'-x,-y,z'
'y,-x,z'
'-x,y,z'
'y,x,z'
'x,-y,z'
'-y,-x,z'
loop_
_atom_site_label
_atom_site_type_symbol
_atom_site_fract_x
_atom_site_fract_y
_atom_site_fract_z
Ca1 Ca 0.000 0.000 0.000
Ca2 Ca 0.500 0.500 0.347
Mg1 Mg 0.500 0.500 0.748
Hg1 Hg 0.000 0.000 0.570
```